Entry from Alexandria via LeMat-Bulk: an optimized crystal structure of TbEr3As4 (PBE-GGA).

Values from the calculation:
- total energy (eV/cell) = -49.12
- energy relative to the elements (eV per atom) = -1.525
- SG = No. 65

Unit cell a=4.0981 b=7.0938 c=7.0938 alpha=109.47 beta=90.00 gamma=90.00
Positions (direct):
As 0.0000 0.7476 0.7476
Er 0.5000 0.5000 0.5000
As 0.5000 0.2512 0.7488
As 0.0000 0.2524 0.2524
Er 0.0000 0.5000 0.0000
Tb 0.5000 0.0000 0.0000
As 0.5000 0.7488 0.2512
Er 0.0000 0.0000 0.5000